This record from the Alexandria database describes a relaxed structure of TlV2TcO8. The functional is PBE with a Hubbard U.

Properties
energy: -7.18 eV per atom
magnetic moment: 2.01 μB per cell

Geometry as POSCAR:
```
TlV2TcO8
1.0
5.4365 -0.0216 -0.0210
2.4886 4.8335 -0.0210
0.3288 0.1996 7.9906
Tc V Tl O
1 2 1 8
Direct
0.0000 0.0000 0.0000 Tc
0.6415 0.6415 0.2059 V
0.3585 0.3585 0.7941 V
0.0000 0.0000 0.5000 Tl
0.7990 0.2791 0.1666 O
0.7209 0.2010 0.8334 O
0.3166 0.3166 0.5954 O
0.7984 0.7984 0.0736 O
0.6834 0.6834 0.4046 O
0.2791 0.7990 0.1666 O
0.2010 0.7209 0.8334 O
0.2016 0.2016 0.9264 O
```